YSnRu3: optimized geometry, PBE.

a b c (Å): 4.792 4.792 4.792
angles (deg): 90.00 90.00 90.00
Positions (direct):
1 Y 0.500 0.500 0.500
2 Ru 0.500 0.000 0.000
3 Ru 0.000 0.000 0.500
4 Ru 0.000 0.500 0.000
5 Sn 0.000 0.000 0.000

Output
**Offset from the most stable computed form**: 0 meV per atom
**Energy**: -6.685 eV per atom
**V**: 110.01 Å³ per cell
**Symmetry**: Pm-3m